Here is PrYTl after structural relaxation from Alexandria via LeMat-Bulk. Energies are from GGA-PBE.

a b c (Å): 5.3352 5.3352 3.8300
angles (deg): 90.00 90.00 120.00
Space group P3m1 (No. 156)
Asymmetric unit:
Pr (0.0000, 0.0000, 0.0000)
Y (0.6667, 0.3333, 0.5288)
Tl (0.3333, 0.6667, 0.4158)

## Properties
Energy of formation from the pure elements in eV/f.u.: -0.5
DFT total energy in eV/atom: -4.72
Energy above the lowest structure with this stoichiometry in eV per atom: 0.104
Size of the total moment in μB per cell: 0.0
Mass density in g/cm3: 7.6